This record from Alexandria via LeMat-Bulk describes an optimized crystal structure of BaHg2I. The functional is GGA-PBE.

Summary:
Its total moment is 0.00 μB per cell. Its calculated volume is 575.8 Å³/cell. The calculation puts the formation energy without anion corrections at -0.588 eV per atom. As for the space-group type: Fm-3m. As for the relative energy among the computed polymorphs: 232 meV per atom.

Geometry as POSCAR:
```
BaHg2I
1.0
8.319 0.000 0.000
0.000 8.319 0.000
0.000 0.000 8.319
Ba Hg I
4 8 4
Direct
0.000 0.000 0.000
0.000 0.500 0.500
0.500 0.000 0.500
0.500 0.500 0.000
0.250 0.250 0.250
0.250 0.250 0.750
0.250 0.750 0.250
0.250 0.750 0.750
0.750 0.250 0.250
0.750 0.250 0.750
0.750 0.750 0.250
0.750 0.750 0.750
0.000 0.000 0.500
0.000 0.500 0.000
0.500 0.000 0.000
0.500 0.500 0.500
```

***

This record from Alexandria via LeMat-Bulk describes an optimized crystal structure of BaHgI. The functional is GGA-PBE.

Summary:
Its total moment is 0.00 μB per cell. Its calculated volume is 546.8 Å³/cell. The calculation puts the formation energy without anion corrections at -1.057 eV per atom. As for the space-group type: C2/m.

Geometry as POSCAR:
```
BaHgI
1.0
9.151 0.000 0.000
0.000 5.294 0.000
-0.434 0.000 11.288
Ba Hg I
4 4 4
Direct
0.009 0.000 0.186
0.491 0.500 0.814
0.509 0.500 0.186
0.991 0.000 0.814
0.167 0.500 0.997
0.333 0.000 0.003
0.667 0.000 0.997
0.833 0.500 0.003
0.183 0.500 0.338
0.317 0.000 0.662
0.683 0.000 0.338
0.817 0.500 0.662
```

***

This record from Alexandria via LeMat-Bulk describes an optimized crystal structure of Ba3Hg5I12. The functional is GGA-PBE.

Summary:
Its total moment is 0.00 μB per cell. Its calculated volume is 3809.4 Å³/cell. The calculation puts the formation energy without anion corrections at -0.832 eV per atom. As for the space-group type: Ia-3d.

Geometry as POSCAR:
```
Ba3Hg5I12
1.0
-9.839 9.839 9.839
9.839 -9.839 9.839
9.839 9.839 -9.839
Ba Hg I
12 20 48
Direct
0.125 0.250 0.375
0.125 0.375 0.750
0.250 0.375 0.125
0.250 0.875 0.625
0.375 0.125 0.250
0.375 0.750 0.125
0.625 0.250 0.875
0.625 0.875 0.750
0.750 0.125 0.375
0.750 0.625 0.875
0.875 0.625 0.250
0.875 0.750 0.625
0.000 0.000 0.000
0.000 0.000 0.500
0.000 0.500 0.000
0.000 0.500 0.500
0.125 0.750 0.875
0.125 0.875 0.250
0.250 0.125 0.875
0.250 0.625 0.375
0.375 0.250 0.625
0.375 0.625 0.750
0.500 0.000 0.000
0.500 0.000 0.500
0.500 0.500 0.000
0.500 0.500 0.500
0.625 0.375 0.250
0.625 0.750 0.375
0.750 0.375 0.625
0.750 0.875 0.125
0.875 0.125 0.750
0.875 0.250 0.125
0.037 0.227 0.132
0.037 0.310 0.905
0.094 0.727 0.690
0.094 0.868 0.405
0.095 0.632 0.406
0.095 0.963 0.690
0.132 0.037 0.227
0.132 0.595 0.906
0.190 0.227 0.594
0.190 0.463 0.595
0.227 0.132 0.037
0.227 0.594 0.190
0.273 0.310 0.906
0.273 0.463 0.368
0.310 0.905 0.037
0.310 0.906 0.273
0.368 0.273 0.463
0.368 0.594 0.905
0.405 0.094 0.868
0.405 0.810 0.537
0.406 0.095 0.632
0.406 0.810 0.773
0.463 0.368 0.273
0.463 0.595 0.190
0.537 0.405 0.810
0.537 0.632 0.727
0.594 0.190 0.227
0.594 0.905 0.368
0.595 0.190 0.463
0.595 0.906 0.132
0.632 0.406 0.095
0.632 0.727 0.537
0.690 0.094 0.727
0.690 0.095 0.963
0.727 0.537 0.632
0.727 0.690 0.094
0.773 0.406 0.810
0.773 0.868 0.963
0.810 0.537 0.405
0.810 0.773 0.406
0.868 0.405 0.094
0.868 0.963 0.773
0.905 0.037 0.310
0.905 0.368 0.594
0.906 0.132 0.595
0.906 0.273 0.310
0.963 0.690 0.095
0.963 0.773 0.868
```

***

| no. | total energy (eV/atom) |
| --- | --- |
| 1 | -1.607 |
| 2 | -2.315 |
| 3 | -2.126 |